(1)
This record from Alexandria via LeMat-Bulk describes a relaxed structure of Rb3U2CrS6. The functional is PBE-GGA.

The calculation puts the uncorrected formation energy at -27.39 kcal/mol of atoms. Its total energy is -148.24 eV for the cell shown.

The structure belongs to space group C2/m (No. 12); the cell edges are 6.938, 12.014 and 8.017 Å and the angles 90.00°, 106.70° and 90.00°. The asymmetric unit holds Rb at (0.000, 0.000, 0.000), Rb at (0.000, 0.336, 0.000), U at (0.000, 0.167, 0.500), Cr at (0.000, 0.500, 0.500), S at (0.228, 0.335, 0.689) and S at (0.233, 0.000, 0.688).

=====

(2)
This record from Alexandria via LeMat-Bulk describes a relaxed structure of TeAs4. The functional is PBE-GGA.

The calculation puts the uncorrected formation energy at 5.52 kcal/mol of atoms. Its total energy is -41.08 eV for the cell shown. For the distance to the lowest polymorph of the same formula, the calculation gives 0 meV per atom.

The structure belongs to space group I4/mmm (No. 139); the cell edges are 5.057, 5.057 and 8.933 Å and the angles 90.00°, 90.00° and 90.00°. The asymmetric unit holds Te at (0.000, 0.000, 0.000), As at (0.000, 0.000, 0.353) and As at (0.000, 0.500, 0.250).